Material: Pm2ZnIr2
Method: DFT, PBE-GGA
State: optimized geometry

Cell lengths 4.2311, 5.9092, 8.5565 Å; angles 90.00, 90.00, 90.00 degrees
With the nearest neighbours (Å) after each atom.
Space group Immm (No. 71)
Symmetry-distinct sites (fractional):
Pm: 0.0000 0.0000 0.2021 (multiplicity 4)  6 Ir 3.00-3.06, 2 Zn 3.31
Zn: 0.0000 0.5000 0.0000 (multiplicity 2)  4 Ir 2.64
Ir: 0.0000 0.2676 0.5000 (multiplicity 4)  2 Zn 2.64, 1 Ir 2.75

Output
As for the calculated total energy: -6.3775 eV/atom. For the energy relative to the elements, the calculation gives -678 meV/atom. The density comes out at 11.5 g/cm³. Its density of states at the Fermi level is 2.64 states/eV/f.u.

=====

Material: CaP2Rh
Method: DFT, PBE-GGA
State: optimized geometry

Cell lengths 6.3024, 4.2652, 5.9990 Å; angles 90.00, 117.36, 90.00 degrees
With the nearest neighbours (Å) after each atom.
Space group C2/m (No. 12)
Symmetry-distinct sites (fractional):
Ca: 0.0000 0.0000 0.0000 (multiplicity 2)  6 P 2.90-2.95, 2 Rh 3.20
P: 0.2068 0.0000 0.6571 (multiplicity 4)  1 P 2.41, 3 Rh 2.43-2.45
Rh: 0.0000 0.5000 0.5000 (multiplicity 2)  6 P 2.43-2.45

Output
As for the calculated total energy: -5.8668 eV/atom. For the energy relative to the elements, the calculation gives -824 meV/atom. The density comes out at 4.8 g/cm³. Its density of states at the Fermi level is 0.54 states/eV/f.u.

=====

Material: ThGa3FeCo
Method: DFT, PBE-GGA
State: optimized geometry

Cell lengths 7.3595, 9.8459, 6.0275 Å; angles 90.00, 90.00, 90.00 degrees
With the nearest neighbours (Å) after each atom.
Space group Cmcm (No. 63)
Symmetry-distinct sites (fractional):
Th: 0.0000 0.2452 0.2500 (multiplicity 4)  1 Fe 2.56, 1 Co 2.67
Ga: 0.0000 0.2493 0.7500 (multiplicity 4)  1 Co 2.30, 1 Fe 2.31
Ga: 0.2483 0.5000 0.0000 (multiplicity 8)  2 Co 2.37, 2 Fe 2.39
Fe: 0.0000 0.0144 0.7500 (multiplicity 4)  5 Ga 2.31-2.39, 1 Th 2.56
Co: 0.0000 0.4834 0.7500 (multiplicity 4)  5 Ga 2.30-2.37

Output
As for the calculated total energy: -5.5190 eV/atom. For the energy relative to the elements, the calculation gives -174 meV/atom. The density comes out at 8.5 g/cm³. Its density of states at the Fermi level is 5.38 states/eV/f.u.

=====

Material: Nd5Ga4Au
Method: DFT, PBE-GGA
State: optimized geometry

Cell lengths 3.6780, 3.6780, 18.7435 Å; angles 90.00, 90.00, 90.00 degrees
With the nearest neighbours (Å) after each atom.
Space group P4/mmm (No. 123)
Symmetry-distinct sites (fractional):
Nd: 0.0000 0.0000 0.0000 (multiplicity 1)  8 Ga 3.19
Nd: 0.0000 0.0000 0.1983 (multiplicity 2)  8 Ga 3.20-3.21
Nd: 0.0000 0.0000 0.3976 (multiplicity 2)  4 Ga 3.19, 4 Au 3.23
Ga: 0.5000 0.5000 0.0988 (multiplicity 2)  8 Nd 3.19-3.20
Ga: 0.5000 0.5000 0.2988 (multiplicity 2)  8 Nd 3.19-3.21
Au: 0.5000 0.5000 0.5000 (multiplicity 1)  8 Nd 3.23

Output
As for the calculated total energy: -4.5126 eV/atom. For the energy relative to the elements, the calculation gives -590 meV/atom. The density comes out at 7.8 g/cm³. Its density of states at the Fermi level is 6.54 states/eV/f.u.

=====

Question: density of number 4 (Nd5Ga4Au)?
Answer: 7.8 g/cm³

=====

Question: Look up the energy relative to the elements of the second one.
Answer: -824 meV/atom

=====

What did the second record say?
Material: CaP2Rh
Method: DFT, PBE-GGA
State: optimized geometry

Cell lengths 6.3024, 4.2652, 5.9990 Å; angles 90.00, 117.36, 90.00 degrees
With the nearest neighbours (Å) after each atom.
Space group C2/m (No. 12)
Symmetry-distinct sites (fractional):
Ca: 0.0000 0.0000 0.0000 (multiplicity 2)  6 P 2.90-2.95, 2 Rh 3.20
P: 0.2068 0.0000 0.6571 (multiplicity 4)  1 P 2.41, 3 Rh 2.43-2.45
Rh: 0.0000 0.5000 0.5000 (multiplicity 2)  6 P 2.43-2.45

Output
As for the calculated total energy: -5.8668 eV/atom. For the energy relative to the elements, the calculation gives -824 meV/atom. The density comes out at 4.8 g/cm³. Its density of states at the Fermi level is 0.54 states/eV/f.u.